DFT (GGA-PBEsol) results for a geometry-optimized BaSc2Ni structure.

It has space group P4/mmm (No. 123), with a = 3.2742 Å, b = 3.2742 Å, c = 9.0521 Å, α = 90.00°, β = 90.00° and γ = 90.00°. Symmetry generates all atoms from Ba at (0.0000, 0.0000, 0.0000), Sc at (0.5000, 0.5000, 0.3416) and Ni at (0.0000, 0.0000, 0.5000).

As for the offset from the most stable computed form: 0.000 eV per atom.

DFT (GGA-PBEsol) results for a geometry-optimized BiH2Se structure.

It has space group I-42d (No. 122), with a = 4.2994 Å, b = 4.2994 Å, c = 13.4536 Å, α = 90.00°, β = 90.00° and γ = 90.00°. Symmetry generates all atoms from Bi at (0.0000, 0.0000, 0.0000), H at (0.1618, 0.2500, 0.1250) and Se at (0.0000, 0.0000, 0.5000).

As for the offset from the most stable computed form: 0.000 eV per atom.

DFT (GGA-PBEsol) results for a geometry-optimized KZn2Ga2 structure.

It has space group I4/mmm (No. 139), with a = 4.3757 Å, b = 4.3757 Å, c = 10.7082 Å, α = 90.00°, β = 90.00° and γ = 90.00°. Symmetry generates all atoms from K at (0.0000, 0.0000, 0.0000), Zn at (0.0000, 0.5000, 0.2500) and Ga at (0.0000, 0.0000, 0.3777).

DFT (GGA-PBEsol) results for a geometry-optimized YSbPdI2 structure.

It has space group P4/mmm (No. 123), with a = 5.7377 Å, b = 5.7377 Å, c = 5.9223 Å, α = 90.00°, β = 90.00° and γ = 90.00°. Symmetry generates all atoms from Y at (0.0000, 0.0000, 0.0000), Sb at (0.0000, 0.0000, 0.5000), Pd at (0.5000, 0.5000, 0.5000) and I at (0.0000, 0.5000, 0.0000).

The calculation puts the formation energy without anion corrections at 0.25 eV/atom.

DFT (GGA-PBEsol) results for a geometry-optimized Zr2CuHg structure.

It has space group I4/mmm (No. 139), with a = 4.2186 Å, b = 4.2186 Å, c = 8.3367 Å, α = 90.00°, β = 90.00° and γ = 90.00°. Symmetry generates all atoms from Zr at (0.0000, 0.5000, 0.2500), Cu at (0.0000, 0.0000, 0.0000) and Hg at (0.0000, 0.0000, 0.5000).

DFT (GGA-PBEsol) results for a geometry-optimized K3NbIr structure.

It has space group Pm-3m (No. 221), with a = 6.2681 Å, b = 6.2681 Å, c = 6.2681 Å, α = 90.00°, β = 90.00° and γ = 90.00°. Symmetry generates all atoms from K at (0.0000, 0.0000, 0.5000), Nb at (0.0000, 0.0000, 0.0000) and Ir at (0.5000, 0.5000, 0.5000).

DFT (GGA-PBEsol) results for a geometry-optimized TeAs2Rh structure.

It has space group F-43m (No. 216), with a = 6.6201 Å, b = 6.6201 Å, c = 6.6201 Å, α = 90.00°, β = 90.00° and γ = 90.00°. Symmetry generates all atoms from Te at (0.0000, 0.0000, 0.0000), As at (0.0000, 0.0000, 0.5000), As at (0.2500, 0.2500, 0.2500) and Rh at (0.2500, 0.2500, 0.7500).

The calculation puts the formation energy without anion corrections at 0.26 eV/atom.

DFT (GGA-PBEsol) results for a geometry-optimized CaZn5 structure.

It has space group P4/mmm (No. 123), with a = 3.2674 Å, b = 3.2674 Å, c = 9.5187 Å, α = 90.00°, β = 90.00° and γ = 90.00°. Symmetry generates all atoms from Ca at (0.0000, 0.0000, 0.0000), Zn at (0.0000, 0.0000, 0.3544), Zn at (0.5000, 0.5000, 0.2166) and Zn at (0.5000, 0.5000, 0.5000).

DFT (GGA-PBEsol) results for a geometry-optimized LiY2Cr structure.

It has space group F-43m (No. 216), with a = 7.1221 Å, b = 7.1221 Å, c = 7.1221 Å, α = 90.00°, β = 90.00° and γ = 90.00°. Symmetry generates all atoms from Li at (0.0000, 0.0000, 0.0000), Y at (0.0000, 0.0000, 0.5000), Y at (0.2500, 0.2500, 0.7500) and Cr at (0.2500, 0.2500, 0.2500).

DFT (GGA-PBEsol) results for a geometry-optimized CrTcW structure.

It has space group I4mm (No. 107), with a = 3.0178 Å, b = 3.0178 Å, c = 9.0412 Å, α = 90.00°, β = 90.00° and γ = 90.00°. Symmetry generates all atoms from Cr at (0.0000, 0.0000, 0.0000), Tc at (0.0000, 0.0000, 0.6668) and W at (0.0000, 0.0000, 0.3411).

As for the offset from the most stable computed form: 0.000 eV per atom.

DFT (GGA-PBEsol) results for a geometry-optimized Li2ScCd structure.

It has space group Pm (No. 6), with a = 3.0265 Å, b = 4.9713 Å, c = 5.3275 Å, α = 90.00°, β = 90.16° and γ = 90.00°. Symmetry generates all atoms from Li at (0.0000, 0.0000, 0.0000), Li at (0.4964, 0.5000, 0.8589), Sc at (0.9971, 0.5000, 0.3791) and Cd at (0.4986, 0.0000, 0.5223).

As for the offset from the most stable computed form: 0.036 eV per atom.

DFT (GGA-PBEsol) results for a geometry-optimized Na3ScPd structure.

It has space group Pm-3m (No. 221), with a = 5.2571 Å, b = 5.2571 Å, c = 5.2571 Å, α = 90.00°, β = 90.00° and γ = 90.00°. Symmetry generates all atoms from Na at (0.0000, 0.0000, 0.5000), Sc at (0.5000, 0.5000, 0.5000) and Pd at (0.0000, 0.0000, 0.0000).

As for the offset from the most stable computed form: 0.000 eV per atom.

| no. | VASP energy (eV/atom) |
| --- | --- |
| 1 | -5.421 |
| 2 | -3.243 |
| 3 | -2.225 |
| 4 | -3.921 |
| 5 | -5.924 |
| 6 | -2.507 |
| 7 | -5.207 |
| 8 | -1.736 |
| 9 | -5.960 |
| 10 | -11.695 |
| 11 | -2.983 |
| 12 | -2.759 |